Entry 1:
DFT (PBE) results for a relaxed Er6Zn5Si crystal.

Its total DFT energy (no corrections) is -3.666 eV/atom. The uncorrected formation energy is -0.402 eV per atom. The value obtained for the volume is 21.82 A^3/atom.

It has space group P2/m (No. 10), with a = 4.9804 Å, b = 7.0015 Å, c = 7.9082 Å, α = 90.00°, β = 108.29° and γ = 90.00°. The distinct sites, in fractional coordinates, are Er at (0.0000, 0.2434, 0.0000), Er at (0.3363, 0.2485, 0.6721), Zn at (0.1672, 0.5000, 0.3345), Zn at (0.1764, 0.0000, 0.3531), Zn at (0.5000, 0.5000, 0.0000) and Si at (0.5000, 0.0000, 0.0000).

***

Entry 2:
DFT (PBE) results for a relaxed Er3Zn2Si3 crystal.

Its total DFT energy (no corrections) is -4.659 eV/atom. The uncorrected formation energy is -0.596 eV per atom. The value obtained for the volume is 19.28 A^3/atom.

It has space group Cmcm (No. 63), with a = 4.1540 Å, b = 10.6059 Å, c = 14.0011 Å, α = 90.00°, β = 90.00° and γ = 90.00°. The distinct sites, in fractional coordinates, are Er at (0.0000, 0.0736, 0.1155), Er at (0.0000, 0.3612, 0.2500), Zn at (0.0000, 0.2192, 0.5949), Si at (0.0000, 0.3506, 0.7500) and Si at (0.0000, 0.3932, 0.0408).

***

Entry 3:
DFT (PBE) results for a relaxed ErZn4Si2 crystal.

Its total DFT energy (no corrections) is -3.148 eV/atom. The uncorrected formation energy is -0.219 eV per atom. The value obtained for the volume is 16.66 A^3/atom.

It has space group Cmmm (No. 65), with a = 3.9668 Å, b = 14.8746 Å, c = 3.9521 Å, α = 90.00°, β = 90.00° and γ = 90.00°. The distinct sites, in fractional coordinates, are Er at (0.0000, 0.0000, 0.0000), Zn at (0.0000, 0.1827, 0.5000), Zn at (0.0000, 0.3127, 0.0000) and Si at (0.0000, 0.4216, 0.5000).